VASP calculation (GGA-PBEsol) on an optimized crystal structure of BaLiMg.

## Properties
The magnetization is 0.00 μB per formula unit. Its mass density is 2.77 g/cm³. The energy above the most stable polymorph in this dataset is 26 meV per atom.

a b c (Å): 5.4937 5.4937 3.8732
angles (deg): 90.00 90.00 120.00
Space group P3m1 (No. 156)
Inequivalent atoms, fractional coordinates:
Ba1 0.0000 0.0000 0.0000 (multiplicity 1)
Li1 0.3333 0.6667 0.5008 (multiplicity 1)
Mg1 0.6667 0.3333 0.4994 (multiplicity 1)